# 1
## CsCu3GeTe4 (PBE)

Data for a relaxed structure of CsCu3GeTe4.

Properties
**Energy above the lowest structure with this stoichiometry**: 0 meV/atom

POSCAR file:
```
CsCu3GeTe4
1.0
6.209 0.000 0.000
0.000 8.213 0.000
-2.694 0.000 10.740
Cs Cu Ge Te
2 6 2 8
Direct
0.692 0.250 0.384
0.308 0.750 0.616
0.801 0.551 0.014
0.801 0.949 0.014
0.858 0.750 0.199
0.142 0.250 0.801
0.199 0.051 0.986
0.199 0.449 0.986
0.366 0.750 0.221
0.634 0.250 0.779
0.535 0.250 0.002
0.118 0.019 0.209
0.118 0.481 0.209
0.715 0.750 0.404
0.285 0.250 0.596
0.882 0.519 0.791
0.882 0.981 0.791
0.465 0.750 0.998
```

---

# 2
## CsCuGeTe3 (PBE)

Data for a relaxed structure of CsCuGeTe3.

Properties
**Energy above the lowest structure with this stoichiometry**: 30 meV/atom

POSCAR file:
```
CsCuGeTe3
1.0
5.195 4.223 5.830
-5.240 -6.622 -2.740
9.113 -5.500 -4.137
Cs Cu Ge Te
2 2 2 6
Direct
0.741 0.259 0.250
0.259 0.741 0.750
0.443 0.557 0.250
0.557 0.443 0.750
0.000 0.000 0.000
0.000 0.000 0.500
0.381 0.619 0.044
0.043 0.957 0.250
0.381 0.619 0.456
0.619 0.381 0.544
0.957 0.043 0.750
0.619 0.381 0.956
```

---

# 3
## CsCu3GeTe4 (PBE)

Data for a relaxed structure of CsCu3GeTe4.

Properties
**Energy above the lowest structure with this stoichiometry**: 238 meV/atom

POSCAR file:
```
CsCu3GeTe4
1.0
-0.290 5.577 -3.849
-6.581 0.687 1.492
1.616 3.799 5.381
Cs Cu Ge Te
1 3 1 4
Direct
0.000 0.000 0.000
0.500 0.500 0.000
0.500 0.000 0.500
0.000 0.500 0.500
0.500 0.500 0.500
0.284 0.284 0.284
0.716 0.716 0.284
0.716 0.284 0.716
0.284 0.716 0.716
```

---

# 4
## Cs3CuH5 (PBE)

Data for a relaxed structure of Cs3CuH5.

Properties
**VASP energy**: -46.2 eV/cell

POSCAR file:
```
Cs3CuH5
1.0
7.610 -2.666 1.895
-2.033 -1.385 7.910
-4.329 -3.319 -6.234
Cs Cu H
6 2 10
Direct
0.250 0.250 0.000
0.750 0.750 0.000
0.821 0.321 0.141
0.321 0.179 0.500
0.679 0.821 0.500
0.179 0.679 0.859
0.750 0.250 0.500
0.250 0.750 0.500
0.000 0.000 0.000
0.500 0.500 0.000
0.553 0.053 0.268
0.215 0.715 0.268
0.947 0.215 0.500
0.715 0.447 0.500
0.285 0.553 0.500
0.053 0.785 0.500
0.785 0.285 0.732
0.447 0.947 0.732
```

---

# 5
## CsHfCu3S4 (PBE)

Data for a relaxed structure of CsHfCu3S4.

Properties
**Total moment**: 0.017 μB/cell
**Energy above the lowest structure with this stoichiometry**: 0 meV/atom

POSCAR file:
```
CsHfCu3S4
1.0
-1.557 -2.790 -4.733
7.094 0.508 -2.634
2.921 -7.109 6.494
Cs Cu Hf S
2 6 2 8
Direct
0.798 0.750 0.123
0.202 0.250 0.877
0.642 0.250 0.291
0.725 0.015 0.495
0.725 0.485 0.495
0.275 0.515 0.505
0.275 0.985 0.505
0.358 0.750 0.709
0.144 0.250 0.292
0.856 0.750 0.708
0.796 0.250 0.102
0.398 0.506 0.297
0.398 0.994 0.297
0.983 0.750 0.496
0.017 0.250 0.504
0.602 0.006 0.703
0.602 0.494 0.703
0.204 0.750 0.898
```

---

# 6
## CsHfCu3S4 (PBE)

Data for a relaxed structure of CsHfCu3S4.

Properties
**Total moment**: 0.004 μB/cell
**Energy above the lowest structure with this stoichiometry**: 196 meV/atom

POSCAR file:
```
CsHfCu3S4
1.0
-0.420 1.906 -5.847
-1.068 -5.794 -1.812
-6.056 0.889 0.725
Cs Cu Hf S
1 3 1 4
Direct
0.000 0.000 0.000
0.500 0.500 0.000
0.500 0.000 0.500
0.000 0.500 0.500
0.500 0.500 0.500
0.281 0.281 0.281
0.719 0.719 0.281
0.719 0.281 0.719
0.281 0.719 0.719
```

---

# 7
## CsHfCuS3 (PBE)

Data for a relaxed structure of CsHfCuS3.

Properties
**Total moment**: 0.013 μB/cell
**VASP energy**: -138.4 eV/cell

POSCAR file:
```
CsHfCuS3
1.0
-8.661 0.751 -4.524
0.967 -2.810 -2.318
-6.062 -10.255 9.903
Cs Cu Hf S
4 4 4 12
Direct
0.249 0.250 0.007
0.749 0.250 0.493
0.251 0.750 0.507
0.751 0.750 0.993
0.756 0.250 0.216
0.256 0.250 0.284
0.744 0.750 0.716
0.244 0.750 0.784
0.007 0.750 0.250
0.507 0.750 0.250
0.493 0.250 0.750
0.993 0.250 0.750
0.956 0.250 0.140
0.555 0.250 0.141
0.256 0.750 0.195
0.756 0.750 0.305
0.055 0.250 0.359
0.456 0.250 0.360
0.544 0.750 0.640
0.945 0.750 0.641
0.244 0.250 0.695
0.744 0.250 0.805
0.445 0.750 0.859
0.044 0.750 0.860
```

---

# 8
## CsHfCuS3 (PBE)

Data for a relaxed structure of CsHfCuS3.

Properties
**Total moment**: 0.012 μB/cell
**VASP energy**: -69.2 eV/cell

POSCAR file:
```
CsHfCuS3
1.0
-5.411 -1.419 5.712
2.543 -0.165 -7.578
3.907 -8.845 1.504
Cs Cu Hf S
2 2 2 6
Direct
0.744 0.256 0.250
0.256 0.744 0.750
0.467 0.533 0.250
0.533 0.467 0.750
0.000 0.000 0.000
0.000 0.000 0.500
0.391 0.609 0.049
0.055 0.945 0.250
0.391 0.609 0.451
0.609 0.391 0.549
0.945 0.055 0.750
0.609 0.391 0.951
```